(1)
VASP calculation (GGA-PBE) on a relaxed GdH crystal.

Structure (POSCAR):
```
GdH
1.0
0.000 2.485 2.485
2.485 0.000 2.485
2.485 2.485 0.000
Gd H
1 1
Cartesian
0.000 0.000 0.000
2.485 2.485 2.485
```

* final energy: -18.202 eV for the cell shown
* symmetry: Fm-3m
* size of the total moment: 7.14 μB per formula unit

(2)
VASP calculation (GGA-PBE) on a relaxed SnP crystal.

Structure (POSCAR):
```
SnP
1.0
4.675 0.000 0.000
-2.338 4.049 0.000
0.000 0.000 5.516
Sn P
2 2
Cartesian
0.000 2.699 1.379
2.338 1.350 4.137
0.000 2.699 4.137
2.338 1.350 1.379
```

* final energy: -18.639 eV for the cell shown
* symmetry: P6_3/mmc
* size of the total moment: 0.00 μB per formula unit
* energy of formation: 0.0465 eV per atom

(3)
VASP calculation (GGA-PBE) on a relaxed CaMg5Se6 crystal.

Structure (POSCAR):
```
CaMg5Se6
1.0
3.424 -5.937 0.000
3.424 5.937 0.000
-2.282 0.000 6.454
Ca Mg Se
1 5 6
Cartesian
0.000 0.000 0.000
2.283 3.967 3.227
3.424 1.996 0.000
2.283 0.000 3.227
3.424 -1.996 0.000
2.283 -3.967 3.227
1.193 2.056 1.648
0.087 0.000 4.775
1.193 -2.056 1.648
3.374 2.056 4.806
4.480 0.000 1.680
3.374 -2.056 4.806
```

* final energy: -47.204 eV for the cell shown
* uncorrected formation energy: -1360 meV/atom
* symmetry: C2/m
* size of the total moment: 0.00 μB per formula unit

(4)
VASP calculation (GGA-PBE) on a relaxed Cs3Nd3ScSe8 crystal.

Structure (POSCAR):
```
Cs3Nd3ScSe8
1.0
7.398 -4.268 0.000
7.398 4.268 0.000
-4.940 0.000 8.579
Cs Nd Sc Se
3 3 1 8
Cartesian
0.000 0.000 0.000
3.699 2.134 0.000
3.699 -2.134 0.000
1.229 2.134 4.290
1.229 -2.134 4.290
4.928 0.000 4.290
-2.470 0.000 4.290
-0.154 0.000 5.838
3.771 2.264 5.838
6.086 2.264 2.741
2.462 0.000 2.641
7.394 0.000 5.938
3.771 -2.264 5.838
6.086 -2.264 2.741
10.010 0.000 2.741
```

* final energy: -75.275 eV for the cell shown
* uncorrected formation energy: -1614 meV/atom
* symmetry: C2/m
* size of the total moment: 0.00 μB per formula unit

(5)
VASP calculation (GGA-PBE) on a relaxed AcLaTlAg crystal.

Structure (POSCAR):
```
AcLaTlAg
1.0
0.000 3.987 3.987
3.987 0.000 3.987
3.987 3.987 0.000
Ac La Tl Ag
1 1 1 1
Cartesian
0.000 0.000 0.000
3.987 3.987 3.987
1.994 1.994 1.994
5.981 5.981 5.981
```

* final energy: -15.531 eV for the cell shown
* symmetry: F-43m
* size of the total moment: 0.20 μB per formula unit
* energy of formation: -0.3195 eV per atom
* energy relative to the lowest polymorph listed for this composition: 0 meV per atom

(6)
VASP calculation (GGA-PBE) on a relaxed UBeCoSi2 crystal.

Structure (POSCAR):
```
UBeCoSi2
1.0
-1.940 1.940 4.740
1.940 -1.940 4.740
1.940 1.940 -4.740
U Be Co Si
1 1 1 2
Cartesian
0.000 0.000 0.000
1.940 0.000 2.370
0.000 1.940 2.370
0.000 0.000 3.562
0.000 0.000 5.918
```

* final energy: -35.181 eV for the cell shown
* uncorrected formation energy: -443 meV/atom
* symmetry: I-4m2
* size of the total moment: 1.42 μB per formula unit

(7)
VASP calculation (GGA-PBE) on a relaxed Na2ReBr4O2 crystal.

Structure (POSCAR):
```
Na2ReBr4O2
1.0
6.233 -3.784 0.000
6.233 3.784 0.000
-2.489 0.000 6.012
Na Re Br O
2 1 4 2
Cartesian
2.270 0.000 1.176
7.707 0.000 4.836
-1.245 0.000 3.006
4.584 1.966 1.231
5.393 1.966 4.780
4.584 -1.966 1.231
5.393 -1.966 4.780
0.485 0.000 2.563
9.492 0.000 3.449
```

* final energy: -41.679 eV for the cell shown
* uncorrected formation energy: -1109 meV/atom
* symmetry: C2/m
* size of the total moment: 1.00 μB per formula unit

(8)
VASP calculation (GGA-PBE) on a relaxed Nd4IrBr2N crystal.

Structure (POSCAR):
```
Nd4IrBr2N
1.0
7.045 0.000 0.000
0.000 3.885 0.000
-2.407 0.000 7.613
Nd Ir Br N
4 1 2 1
Cartesian
0.995 0.000 1.389
-0.203 1.942 6.158
4.841 1.942 1.455
3.643 0.000 6.224
3.522 0.000 0.000
-1.203 0.000 3.806
2.319 1.942 3.806
0.000 1.942 0.000
```

* final energy: -48.701 eV for the cell shown
* uncorrected formation energy: -1137 meV/atom
* symmetry: P2/m
* size of the total moment: 0.00 μB per formula unit

(9)
VASP calculation (GGA-PBE) on a relaxed BaTiCuAs2 crystal.

Structure (POSCAR):
```
BaTiCuAs2
1.0
-2.054 2.054 6.779
2.054 -2.054 6.779
2.054 2.054 -6.779
Ba Ti Cu As
1 1 1 2
Cartesian
0.000 0.000 0.000
2.054 0.000 3.390
0.000 2.054 3.390
0.000 0.000 4.856
0.000 0.000 8.702
```

* final energy: -27.240 eV for the cell shown
* symmetry: I-4m2
* size of the total moment: 0.44 μB per formula unit
* energy of formation: -0.8054 eV per atom

(10)
VASP calculation (GGA-PBE) on a relaxed TmNbCuRu crystal.

Structure (POSCAR):
```
TmNbCuRu
1.0
0.000 3.267 3.267
3.267 0.000 3.267
3.267 3.267 0.000
Tm Nb Cu Ru
1 1 1 1
Cartesian
0.000 0.000 0.000
3.267 3.267 3.267
1.634 1.634 1.634
4.901 4.901 4.901
```

* final energy: -28.433 eV for the cell shown
* symmetry: F-43m
* size of the total moment: 0.00 μB per formula unit
* energy of formation: -0.1299 eV per atom

(11)
VASP calculation (GGA-PBE) on a relaxed LiTeCl6 crystal.

Structure (POSCAR):
```
LiTeCl6
1.0
3.264 1.885 5.813
-3.264 1.885 5.813
0.000 -3.769 5.813
Li Te Cl
1 1 6
Cartesian
0.000 0.000 0.000
0.000 0.000 8.720
-0.968 -1.785 7.289
-2.030 -0.054 10.151
-1.062 1.731 7.289
1.062 -1.731 10.151
2.030 0.054 7.289
0.968 1.785 10.151
```

* final energy: -21.894 eV for the cell shown
* uncorrected formation energy: -720 meV/atom
* symmetry: R-3
* size of the total moment: 0.63 μB per formula unit
* energy relative to the lowest polymorph listed for this composition: 36 meV per atom

(12)
VASP calculation (GGA-PBE) on a relaxed CaDyTlRh crystal.

Structure (POSCAR):
```
CaDyTlRh
1.0
3.429 0.000 0.000
0.000 3.429 0.000
0.000 0.000 8.331
Ca Dy Tl Rh
1 1 1 1
Cartesian
0.000 0.000 0.000
0.000 0.000 4.881
1.714 1.714 2.439
1.714 1.714 6.414
```

* final energy: -18.439 eV for the cell shown
* symmetry: P4mm
* size of the total moment: 0.00 μB per formula unit
* energy of formation: -0.5293 eV per atom
* energy relative to the lowest polymorph listed for this composition: 0 meV per atom